Zn2BrN after structural relaxation, computed with PBE.

```
16
Lattice="6.1721 0.0000 0.0000 0.0000 6.2732 0.0000 0.0000 0.0000 7.7848" Properties=species:S:1:pos:R:3 pbc="T T T"
Br 3.9010 2.6056 6.9083
Br 3.9010 5.7422 4.7689
Br 0.8149 3.6677 0.8765
Br 0.8149 0.5310 3.0159
Zn 0.6746 2.3632 6.3996
Zn 2.3636 3.1734 3.9674
Zn 0.6746 5.4998 5.2776
Zn 5.4497 3.0998 3.8174
Zn 3.7607 3.9100 1.3852
Zn 3.7607 0.7734 2.5072
Zn 5.4497 6.2364 0.0750
Zn 2.3636 0.0368 7.7098
N 0.7639 0.4551 6.7933
N 3.8500 5.8182 0.9915
N 3.8500 2.6815 2.9009
N 0.7639 3.5917 4.8839
```

Computed properties:
Its mass density is 4.95 g cm⁻³. Its uncorrected formation energy is -1.45 eV/f.u. The value obtained for the density of states at the Fermi level is 0.000 states/eV/atom.

Sc2As2N after structural relaxation, computed with PBE.

```
10
Lattice="6.8619 0.0000 0.0000 0.0000 6.8619 0.0000 0.0000 0.0000 3.7381" Properties=species:S:1:pos:R:3 pbc="T T T"
Sc 5.7720 2.3411 1.8691
Sc 1.0898 4.5208 1.8691
Sc 2.3411 1.0898 1.8691
Sc 4.5208 5.7720 1.8691
As 1.0757 2.3553 0.0000
As 5.7862 4.5066 0.0000
As 2.3553 5.7862 0.0000
As 4.5066 1.0757 0.0000
N 0.0000 0.0000 0.0000
N 3.4309 3.4309 0.0000
```

Computed properties:
Its mass density is 4.79 g cm⁻³. Its uncorrected formation energy is -0.42 eV/f.u. The value obtained for the density of states at the Fermi level is 0.554 states/eV/atom.

EuInTeCl after structural relaxation, computed with PBE.

```
4
Lattice="-5.4647 0.8916 0.0791 -3.4826 -4.0102 -1.5663 -3.1662 -2.5438 3.7641" Properties=species:S:1:pos:R:3 pbc="T T T"
Cl -9.0851 -4.2468 1.7076
In 0.0000 0.0000 0.0000
Te -3.0284 -1.4156 0.5692
Eu -6.0568 -2.8312 1.1384
```

Computed properties:
Its mass density is 5.94 g cm⁻³. Its uncorrected formation energy is -4.60 eV/f.u. The value obtained for the density of states at the Fermi level is 0.891 states/eV/atom.

UAgC after structural relaxation, computed with PBE.

```
6
Lattice="-1.8108 2.9269 -0.1546 -1.8195 -0.9801 2.7565 5.5269 3.6812 4.9572" Properties=species:S:1:pos:R:3 pbc="T T T"
Ag -0.4422 1.7720 0.3382
Ag 4.1539 2.8826 5.9200
U 0.9722 0.7634 3.0662
U 2.7396 3.8912 3.1920
C 1.1675 2.8441 1.7820
C 2.5442 1.8105 4.4762
```

Computed properties:
Its mass density is 12.08 g cm⁻³. The value obtained for the energy relative to the elements is 0.025 eV/atom. The value obtained for the density of states at the Fermi level is 1.235 states/eV/atom.

ErGa4Cu6 after structural relaxation, computed with PBE.

```
11
Lattice="-0.4844 3.9893 0.0000 -5.9236 -0.7193 3.4566 5.9335 0.7205 3.4394" Properties=species:S:1:pos:R:3 pbc="T T T"
Cu -0.4689 -0.0569 3.4487
Cu -2.7206 -0.3303 4.7626
Cu -2.7243 -0.3308 2.1413
Cu 1.0023 2.1458 4.7347
Cu 0.9986 2.1453 2.1577
Cu 3.2159 2.4145 3.4430
Er 0.0000 0.0000 0.0000
Ga -3.8609 1.5552 3.4532
Ga -1.3918 1.8550 2.0124
Ga 1.9811 0.2406 3.4451
Ga -1.3877 1.8556 4.8869
```

Computed properties:
Its mass density is 8.30 g cm⁻³. The value obtained for the energy relative to the elements is -0.227 eV/atom. The value obtained for the density of states at the Fermi level is 0.317 states/eV/atom.

MnAl4Cr after structural relaxation, computed with PBE.

```
12
Lattice="5.0424 0.0000 -1.3266 0.0000 7.1885 0.0000 -1.2615 0.0000 5.3942" Properties=species:S:1:pos:R:3 pbc="T T T"
Al 0.2871 1.3408 3.7414
Al 3.4891 1.3411 0.3228
Al 0.9679 2.2531 0.9861
Al 3.4938 5.8477 0.3262
Al 2.8130 4.9354 3.0815
Al 0.9726 4.9350 0.9895
Al 2.8083 2.2535 3.0781
Al 0.2918 5.8474 3.7448
Mn 0.0000 0.0000 0.0000
Mn 2.5212 3.5942 -0.6633
Cr 1.8904 0.0000 2.0338
Cr -0.6307 3.5942 2.6971
```

Computed properties:
Its mass density is 3.89 g cm⁻³. The value obtained for the energy relative to the elements is 0.058 eV/atom. The value obtained for the density of states at the Fermi level is 0.545 states/eV/atom.

Pm2Er6Tm5 after structural relaxation, computed with PBE.

```
26
Lattice="-1.7909 2.4368 -1.8547 1.4424 -6.2673 -9.6273 -17.0462 -9.6772 3.7459" Properties=species:S:1:pos:R:3 pbc="T T T"
Er -14.3448 -14.8139 -5.6116
Er -9.2303 -8.3673 -2.0804
Er -6.0585 -7.5500 -7.4622
Er -14.1693 -11.0076 -0.7801
Er -14.7944 -11.4641 -4.1690
Er -1.2590 -1.1307 -0.2698
Er -2.6004 -2.0437 -3.5670
Er -9.4724 -11.8842 -6.4674
Er -11.3363 -5.9578 -0.2738
Er -1.4345 -4.9370 -5.1013
Er -6.3736 -7.5773 -3.8010
Er -6.1315 -4.0604 0.5860
Tm -12.6405 -8.3194 -2.1173
Tm -4.7543 -5.1884 -5.6187
Tm -4.5646 -1.5376 -1.0053
Tm -8.1268 -5.0193 -2.1400
Tm -9.4186 -3.6202 0.9456
Tm -16.7968 -9.2195 0.7136
Tm -9.2680 -8.4884 -5.5960
Tm -12.8302 -11.9702 -6.7308
Tm -0.1743 -1.9153 -5.7410
Tm -0.5979 -4.2883 -8.4497
Pm -4.3815 -4.8654 -2.1616
Pm -11.2223 -11.0791 -3.7198
Pm -13.1515 -8.6313 1.3593
Pm -2.4523 -7.3133 -7.2407
```

Computed properties:
Its mass density is 8.66 g cm⁻³. The value obtained for the energy relative to the elements is 0.102 eV/atom. The value obtained for the density of states at the Fermi level is 1.308 states/eV/atom.

SrInBi2Pb2 after structural relaxation, computed with PBE.

```
12
Lattice="-2.2258 3.4657 2.4130 -2.4812 -5.3365 5.3758 8.9667 1.7013 5.8275" Properties=species:S:1:pos:R:3 pbc="T T T"
Sr 1.2641 -4.5252 7.6654
Sr 4.0834 -1.5574 6.0035
Pb 5.3752 -3.0150 9.2886
Pb -0.8796 1.5559 1.6758
Pb 6.1543 0.4576 9.7414
Pb 0.7169 -1.4660 2.7669
Bi 2.3754 -1.4308 8.9679
Bi 7.1149 0.1573 6.3371
Bi -0.6053 -3.7404 4.8139
Bi 1.7047 0.8748 5.0378
In 0.1249 -1.2447 6.6248
In 4.5804 2.0335 6.0262
```

Computed properties:
Its mass density is 8.34 g cm⁻³. The value obtained for the energy relative to the elements is -0.224 eV/atom. The value obtained for the density of states at the Fermi level is 0.477 states/eV/atom.